# Rb3Np2AgTe6

Crystalline Rb3Np2AgTe6 at its relaxed geometry (PBE, Alexandria).

Geometry as POSCAR:
```
Rb3Np2AgTe6
1.0
3.9184 -6.7897 0.0000
3.9184 6.7897 0.0000
-2.5960 0.0000 8.4798
Rb Np Ag Te
3 2 1 6
Cartesian
0.0000 0.0000 0.0000 Rb
3.9184 2.2002 0.0000 Rb
3.9184 -2.2002 0.0000 Rb
2.6204 4.5197 4.2399 Np
2.6204 -4.5197 4.2399 Np
2.6204 0.0000 4.2399 Ag
1.2806 2.3176 2.5733 Te
-0.0389 0.0000 5.8824 Te
1.2806 -2.3176 2.5733 Te
3.9602 2.3176 5.9065 Te
5.2797 0.0000 2.5974 Te
3.9602 -2.3176 5.9065 Te
```

## Properties
total moment: 6.00 μB per formula unit
volume: 37.601 Å³ per atom
symmetry: C2/m
formation energy from raw total energies: -730 meV/atom


# RbNp2AgTe4

Crystalline RbNp2AgTe4 at its relaxed geometry (PBE, Alexandria).

Geometry as POSCAR:
```
RbNp2AgTe4
1.0
2.2665 -7.6506 0.0000
2.2665 7.6506 0.0000
0.0000 0.0000 15.8286
Rb Np Ag Te
2 4 2 8
Cartesian
2.2665 5.7964 11.8715 Rb
2.2665 -5.7964 3.9572 Rb
2.2665 1.9872 8.9471 Np
2.2665 1.9872 14.7959 Np
2.2665 -1.9872 1.0328 Np
2.2665 -1.9872 6.8816 Np
2.2665 5.1976 3.9572 Ag
2.2665 -5.1976 11.8715 Ag
0.0000 0.0000 0.0000 Te
0.0000 0.0000 7.9143 Te
2.2665 3.6016 1.6503 Te
2.2665 3.6016 6.2640 Te
2.2665 0.8579 11.8715 Te
2.2665 -0.8579 3.9572 Te
2.2665 -3.6016 9.5646 Te
2.2665 -3.6016 14.1783 Te
```

## Properties
total moment: 8.00 μB per formula unit
volume: 34.309 Å³ per atom
symmetry: Cmcm
formation energy from raw total energies: -669 meV/atom


# NpAgRh2

Crystalline NpAgRh2 at its relaxed geometry (PBE, Alexandria).

Geometry as POSCAR:
```
NpAgRh2
1.0
4.3098 0.0000 0.0000
0.0000 4.3098 0.0000
0.0000 0.0000 3.7423
Np Ag Rh
1 1 2
Cartesian
0.0000 0.0000 0.0000 Np
2.1549 2.1549 0.0000 Ag
0.0000 2.1549 1.8712 Rh
2.1549 0.0000 1.8712 Rh
```

## Properties
energy relative to the elements: -0.23 eV/atom
total moment: 2.64 μB per formula unit
volume: 17.378 Å³ per atom
symmetry: P4/mmm


# NpAgRuRh

Crystalline NpAgRuRh at its relaxed geometry (PBE, Alexandria).

Geometry as POSCAR:
```
NpAgRuRh
1.0
6.5247 0.0000 0.0000
0.0000 6.5247 0.0000
0.0000 0.0000 6.5247
Np Ag Ru Rh
4 4 4 4
Cartesian
0.0000 0.0000 0.0000 Np
0.0000 3.2624 3.2624 Np
3.2624 0.0000 3.2624 Np
3.2624 3.2624 0.0000 Np
0.0000 0.0000 3.2624 Ag
0.0000 3.2624 0.0000 Ag
3.2624 0.0000 0.0000 Ag
3.2624 3.2624 3.2624 Ag
1.6312 1.6312 1.6312 Ru
1.6312 4.8935 4.8935 Ru
4.8935 1.6312 4.8935 Ru
4.8935 4.8935 1.6312 Ru
1.6312 1.6312 4.8935 Rh
1.6312 4.8935 1.6312 Rh
4.8935 1.6312 1.6312 Rh
4.8935 4.8935 4.8935 Rh
```

## Properties
energy relative to the elements: 0.00 eV/atom
total moment: 2.76 μB per formula unit
volume: 17.361 Å³ per atom
symmetry: F-43m


# NpAg2Rh2S6

Crystalline NpAg2Rh2S6 at its relaxed geometry (PBE, Alexandria).

Geometry as POSCAR:
```
NpAg2Rh2S6
1.0
3.0553 -5.2717 0.0000
3.0553 5.2717 0.0000
-1.6596 0.0000 6.5676
Np Ag Rh S
1 2 2 6
Cartesian
0.0000 0.0000 0.0000 Np
2.2255 3.7670 3.2838 Ag
2.2255 -3.7670 3.2838 Ag
3.0553 1.7580 0.0000 Rh
3.0553 -1.7580 0.0000 Rh
1.1229 1.9595 1.4364 S
0.5787 0.0000 5.1291 S
1.1229 -1.9595 1.4364 S
3.3281 1.9595 5.1312 S
3.8723 0.0000 1.4385 S
3.3281 -1.9595 5.1312 S
```

## Properties
total moment: 2.99 μB per formula unit
volume: 19.233 Å³ per atom
symmetry: C2/m
formation energy from raw total energies: -592 meV/atom


# Np3Ag3RhS8

Crystalline Np3Ag3RhS8 at its relaxed geometry (PBE, Alexandria).

Geometry as POSCAR:
```
Np3Ag3RhS8
1.0
6.7094 -3.8733 0.0000
6.7094 3.8733 0.0000
-4.4597 0.0000 6.3316
Np Ag Rh S
3 3 1 8
Cartesian
0.0000 0.0000 0.0000 Np
3.3547 1.9366 0.0000 Np
3.3547 -1.9366 0.0000 Np
1.1249 1.9366 3.1658 Ag
1.1249 -1.9366 3.1658 Ag
4.4796 0.0000 3.1658 Ag
6.7094 0.0000 0.0000 Rh
2.2361 0.0000 1.4990 S
5.6921 1.7619 1.4185 S
0.2168 0.0000 4.9125 S
3.2671 1.7619 4.9130 S
5.6921 -1.7619 1.4185 S
8.7424 0.0000 1.4190 S
3.2671 -1.7619 4.9130 S
6.7231 0.0000 4.8326 S
```

## Properties
total moment: 11.00 μB per formula unit
volume: 21.939 Å³ per atom
symmetry: C2/m
formation energy from raw total energies: -743 meV/atom


# NpAg3Rh2S6

Crystalline NpAg3Rh2S6 at its relaxed geometry (PBE, Alexandria).

Geometry as POSCAR:
```
NpAg3Rh2S6
1.0
3.0805 -5.3250 0.0000
3.0805 5.3250 0.0000
-1.5048 0.0000 6.7167
Np Ag Rh S
1 3 2 6
Cartesian
0.0000 0.0000 0.0000 Np
2.3281 3.8282 3.3583 Ag
2.3281 0.0000 3.3583 Ag
2.3281 -3.8282 3.3583 Ag
3.0805 1.7780 0.0000 Rh
3.0805 -1.7780 0.0000 Rh
1.1318 1.9818 1.4453 S
0.7815 0.0000 5.2998 S
1.1318 -1.9818 1.4453 S
3.5244 1.9818 5.2714 S
3.8747 0.0000 1.4169 S
3.5244 -1.9818 5.2714 S
```

## Properties
total moment: 3.42 μB per formula unit
volume: 18.363 Å³ per atom
symmetry: C2/m
formation energy from raw total energies: -498 meV/atom


# NpAgSnRh

Crystalline NpAgSnRh at its relaxed geometry (PBE, Alexandria).

Geometry as POSCAR:
```
NpAgSnRh
1.0
6.8798 0.0000 0.0000
0.0000 6.8798 0.0000
0.0000 0.0000 6.8798
Np Ag Sn Rh
4 4 4 4
Cartesian
0.0000 0.0000 0.0000 Np
0.0000 3.4399 3.4399 Np
3.4399 0.0000 3.4399 Np
3.4399 3.4399 0.0000 Np
1.7199 1.7199 5.1598 Ag
1.7199 5.1598 1.7199 Ag
5.1598 1.7199 1.7199 Ag
5.1598 5.1598 5.1598 Ag
0.0000 0.0000 3.4399 Sn
0.0000 3.4399 0.0000 Sn
3.4399 0.0000 0.0000 Sn
3.4399 3.4399 3.4399 Sn
1.7199 1.7199 1.7199 Rh
1.7199 5.1598 5.1598 Rh
5.1598 1.7199 5.1598 Rh
5.1598 5.1598 1.7199 Rh
```

## Properties
energy relative to the elements: -0.05 eV/atom
total moment: 3.66 μB per formula unit
volume: 20.352 Å³ per atom
symmetry: F-43m


# NpAgRu2

Crystalline NpAgRu2 at its relaxed geometry (PBE, Alexandria).

Geometry as POSCAR:
```
NpAgRu2
1.0
6.4976 0.0000 0.0000
0.0000 6.4976 0.0000
0.0000 0.0000 6.4976
Np Ag Ru
4 4 8
Cartesian
0.0000 0.0000 0.0000 Np
0.0000 3.2488 3.2488 Np
3.2488 0.0000 3.2488 Np
3.2488 3.2488 0.0000 Np
0.0000 0.0000 3.2488 Ag
0.0000 3.2488 0.0000 Ag
3.2488 0.0000 0.0000 Ag
3.2488 3.2488 3.2488 Ag
1.6244 1.6244 1.6244 Ru
1.6244 1.6244 4.8732 Ru
1.6244 4.8732 1.6244 Ru
1.6244 4.8732 4.8732 Ru
4.8732 1.6244 1.6244 Ru
4.8732 1.6244 4.8732 Ru
4.8732 4.8732 1.6244 Ru
4.8732 4.8732 4.8732 Ru
```

## Properties
energy relative to the elements: 0.18 eV/atom
total moment: 2.20 μB per formula unit
volume: 17.145 Å³ per atom
symmetry: Fm-3m
ΔE to the lowest computed polymorph: 0.070 eV/atom


# NpAgRu2

Crystalline NpAgRu2 at its relaxed geometry (PBE, Alexandria).

Geometry as POSCAR:
```
NpAgRu2
1.0
4.2921 0.0000 0.0000
0.0000 4.2921 0.0000
0.0000 0.0000 3.6843
Np Ag Ru
1 1 2
Cartesian
0.0000 0.0000 0.0000 Np
2.1460 2.1460 0.0000 Ag
0.0000 2.1460 1.8421 Ru
2.1460 0.0000 1.8421 Ru
```

## Properties
energy relative to the elements: 0.11 eV/atom
total moment: 0.83 μB per formula unit
volume: 16.968 Å³ per atom
symmetry: P4/mmm
ΔE to the lowest computed polymorph: 0.000 eV/atom


# NpAgS4

Crystalline NpAgS4 at its relaxed geometry (PBE, Alexandria).

Geometry as POSCAR:
```
NpAgS4
1.0
4.2415 -3.4575 0.0000
4.2415 3.4575 0.0000
0.0000 0.0000 8.7210
Np Ag S
2 2 8
Cartesian
4.2415 3.1648 6.5408 Np
4.2415 -3.1648 2.1803 Np
4.2415 0.2756 2.1803 Ag
4.2415 -0.2756 6.5408 Ag
2.2951 1.3101 6.5408 S
4.2415 1.9499 0.2104 S
4.2415 1.9499 4.1501 S
2.2951 -1.3101 2.1803 S
6.1880 1.3101 6.5408 S
4.2415 -1.9499 4.5709 S
4.2415 -1.9499 8.5106 S
6.1880 -1.3101 2.1803 S
```

## Properties
total moment: 1.38 μB per formula unit
volume: 21.315 Å³ per atom
symmetry: Cmcm
formation energy from raw total energies: -361 meV/atom


# Np2Ag3S6

Crystalline Np2Ag3S6 at its relaxed geometry (PBE, Alexandria).

Geometry as POSCAR:
```
Np2Ag3S6
1.0
3.4763 -6.0473 0.0000
3.4763 6.0473 0.0000
-2.3564 0.0000 5.8015
Np Ag S
2 3 6
Cartesian
3.4763 4.0443 0.0000 Np
3.4763 -4.0443 0.0000 Np
-1.1782 0.0000 2.9007 Ag
2.2981 2.0835 2.9007 Ag
2.2981 -2.0835 2.9007 Ag
-0.0795 2.1178 4.4521 S
0.9964 0.0000 1.4725 S
-0.0795 -2.1178 4.4521 S
4.6756 2.1178 1.3494 S
3.5997 0.0000 4.3290 S
4.6756 -2.1178 1.3494 S
```

## Properties
total moment: 5.00 μB per formula unit
volume: 22.175 Å³ per atom
symmetry: C2/m
formation energy from raw total energies: -711 meV/atom


# Np3Ag4S8

Crystalline Np3Ag4S8 at its relaxed geometry (PBE, Alexandria).

Geometry as POSCAR:
```
Np3Ag4S8
1.0
3.9677 2.2908 6.5694
-3.9677 2.2908 6.5694
0.0000 -4.5815 6.5694
Np Ag S
3 4 8
Cartesian
-1.9838 -1.1454 6.5694 Np
-1.9838 1.1454 13.1387 Np
0.0000 2.2907 6.5694 Np
0.0000 0.0000 0.0000 Ag
0.0000 0.0000 2.7319 Ag
0.0000 0.0000 9.8540 Ag
0.0000 0.0000 16.9762 Ag
0.0000 -2.1751 8.0774 S
-1.8837 1.0876 8.0774 S
0.0000 0.0000 5.1653 S
-1.8837 -1.0876 11.6306 S
1.8837 1.0876 8.0774 S
0.0000 0.0000 14.5428 S
1.8837 -1.0876 11.6306 S
0.0000 2.1751 11.6306 S
```

## Properties
total moment: 8.99 μB per formula unit
volume: 23.884 Å³ per atom
symmetry: R-3m
formation energy from raw total energies: -746 meV/atom


# Np2AgS6

Crystalline Np2AgS6 at its relaxed geometry (PBE, Alexandria).

Geometry as POSCAR:
```
Np2AgS6
1.0
7.2180 0.0000 0.0000
-3.6090 6.2509 0.0000
0.0000 0.0000 3.7859
Np Ag S
2 1 6
Cartesian
0.0000 4.1673 0.0000 Np
3.6090 2.0836 0.0000 Np
0.0000 0.0000 1.8930 Ag
-1.6209 2.8074 1.8930 S
-2.7043 4.6839 0.0000 S
0.9047 1.5670 0.0000 S
3.2417 0.0000 1.8930 S
1.9881 3.4435 1.8930 S
5.4085 0.0000 0.0000 S
```

## Properties
total moment: 5.62 μB per formula unit
volume: 18.980 Å³ per atom
symmetry: P-62m
formation energy from raw total energies: -657 meV/atom


# NpAg2S4

Crystalline NpAg2S4 at its relaxed geometry (PBE, Alexandria).

Geometry as POSCAR:
```
NpAg2S4
1.0
-4.3154 4.3154 3.7498
4.3154 -4.3154 3.7498
4.3154 4.3154 -3.7498
Np Ag S
2 4 8
Cartesian
0.0000 0.0000 0.0000 Np
0.0000 4.3154 1.8749 Np
2.1577 2.7174 -0.9374 Ag
5.9135 2.1577 0.9374 Ag
2.1577 1.5980 2.8123 Ag
-1.5980 2.1577 4.6872 Ag
6.0285 -0.2983 0.5351 S
2.6024 0.2983 0.5351 S
4.6137 2.6024 -1.3398 S
4.0172 -1.7130 3.2147 S
-0.2983 1.7130 2.4100 S
4.6137 1.7130 3.2147 S
2.6024 4.0172 1.3398 S
1.7130 0.2983 5.0896 S
```

## Properties
total moment: 1.98 μB per formula unit
volume: 19.952 Å³ per atom
symmetry: I-42d
formation energy from raw total energies: -475 meV/atom
ΔE to the lowest computed polymorph: 0.051 eV/atom


# NpAg4S5

Crystalline NpAg4S5 at its relaxed geometry (PBE, Alexandria).

Geometry as POSCAR:
```
NpAg4S5
1.0
-4.3198 4.3198 2.6624
4.3198 -4.3198 2.6624
4.3198 4.3198 -2.6624
Np Ag S
1 4 5
Cartesian
0.0000 0.0000 0.0000 Np
5.2498 1.8373 0.0000 Ag
1.8373 3.3899 0.0000 Ag
2.4826 0.9300 2.6624 Ag
-0.9300 2.4826 2.6624 Ag
2.5472 0.6504 0.0000 S
3.6694 -1.7727 2.6624 S
0.0000 0.0000 2.6624 S
0.6504 6.0925 0.0000 S
1.7727 3.6694 2.6624 S
```

## Properties
total moment: 1.79 μB per formula unit
volume: 19.873 Å³ per atom
symmetry: I4/m
formation energy from raw total energies: -387 meV/atom


# NpAg5S6

Crystalline NpAg5S6 at its relaxed geometry (PBE, Alexandria).

Geometry as POSCAR:
```
NpAg5S6
1.0
3.4439 -5.6028 0.0000
3.4439 5.6028 0.0000
-2.3873 0.0000 6.1904
Np Ag S
1 5 6
Cartesian
0.0000 0.0000 0.0000 Np
2.2502 4.0080 3.0952 Ag
3.4439 2.0259 0.0000 Ag
2.2502 0.0000 3.0952 Ag
3.4439 -2.0259 0.0000 Ag
2.2502 -4.0080 3.0952 Ag
0.9140 1.8142 1.6586 S
-0.0193 0.0000 4.9637 S
0.9140 -1.8142 1.6586 S
3.5865 1.8142 4.5318 S
4.5197 0.0000 1.2267 S
3.5865 -1.8142 4.5318 S
```

## Properties
total moment: 1.52 μB per formula unit
volume: 19.908 Å³ per atom
symmetry: C2/m
formation energy from raw total energies: -315 meV/atom


# NpAg2S3

Crystalline NpAg2S3 at its relaxed geometry (PBE, Alexandria).

Geometry as POSCAR:
```
NpAg2S3
1.0
4.3879 -6.3755 0.0000
4.3879 6.3755 0.0000
0.0000 0.0000 5.5222
Np Ag S
2 4 6
Cartesian
4.3879 4.8717 4.1417 Np
4.3879 -4.8717 1.3806 Np
2.8361 0.0000 0.0000 Ag
2.8361 0.0000 2.7611 Ag
5.9396 0.0000 0.0000 Ag
5.9396 0.0000 2.7611 Ag
4.3879 5.2720 1.3806 S
2.5916 1.9731 1.3806 S
2.5916 -1.9731 4.1417 S
6.1841 1.9731 1.3806 S
6.1841 -1.9731 4.1417 S
4.3879 -5.2720 4.1417 S
```

## Properties
total moment: 3.00 μB per formula unit
volume: 25.747 Å³ per atom
symmetry: Cmcm
formation energy from raw total energies: -456 meV/atom
ΔE to the lowest computed polymorph: 0.179 eV/atom


# NpAg5S5

Crystalline NpAg5S5 at its relaxed geometry (PBE, Alexandria).

Geometry as POSCAR:
```
NpAg5S5
1.0
6.1713 -2.6569 0.0000
6.1713 2.6569 0.0000
-2.6103 0.0000 7.1126
Np Ag S
1 5 5
Cartesian
0.0000 0.0000 0.0000 Np
-1.3052 0.0000 3.5563 Ag
2.3852 0.0000 4.7882 Ag
3.8505 0.0000 1.2285 Ag
5.8817 0.0000 5.8841 Ag
7.3471 0.0000 2.3245 Ag
-0.3111 0.0000 5.7464 S
1.4691 0.0000 2.2668 S
6.1713 0.0000 0.0000 S
8.2631 0.0000 4.8459 S
10.0434 0.0000 1.3663 S
```

## Properties
total moment: 2.38 μB per formula unit
volume: 21.204 Å³ per atom
symmetry: C2/m
formation energy from raw total energies: -330 meV/atom


# Np3Ag3S8

Crystalline Np3Ag3S8 at its relaxed geometry (PBE, Alexandria).

Geometry as POSCAR:
```
Np3Ag3S8
1.0
4.0320 2.3279 6.0630
-4.0320 2.3279 6.0630
0.0000 -4.6558 6.0630
Np Ag S
3 3 8
Cartesian
-2.0160 -1.1639 6.0630 Np
-2.0160 1.1639 12.1260 Np
0.0000 2.3279 6.0630 Np
0.0000 0.0000 2.1119 Ag
0.0000 0.0000 9.0945 Ag
0.0000 0.0000 16.0771 Ag
0.0000 -2.2061 7.4295 S
-1.9105 1.1030 7.4295 S
0.0000 0.0000 4.6864 S
-1.9105 -1.1030 10.7595 S
1.9105 1.1030 7.4295 S
0.0000 0.0000 13.5026 S
1.9105 -1.1030 10.7595 S
0.0000 2.2061 10.7595 S
```

## Properties
total moment: 7.99 μB per formula unit
volume: 24.389 Å³ per atom
symmetry: R-3m
formation energy from raw total energies: -831 meV/atom


# NpAg2S4

Crystalline NpAg2S4 at its relaxed geometry (PBE, Alexandria).

Geometry as POSCAR:
```
NpAg2S4
1.0
-4.0758 4.1475 4.5475
4.0758 -4.1475 4.5475
4.0758 4.1475 -4.5475
Np Ag S
2 4 8
Cartesian
0.0000 0.0000 0.0000 Np
0.0000 4.1475 0.0000 Np
2.0379 2.0738 -2.2738 Ag
2.0379 -2.0738 2.2738 Ag
4.0758 2.0738 1.7574 Ag
0.0000 2.0738 2.7902 Ag
4.0758 -0.3551 2.0264 S
4.0758 3.7925 -2.0264 S
1.6931 2.0738 0.3018 S
2.3828 -2.0738 4.8493 S
1.6931 6.2213 -0.3018 S
2.3828 2.0738 4.2457 S
0.0000 0.3551 6.5739 S
0.0000 4.5026 2.5212 S
```

## Properties
total moment: 1.77 μB per formula unit
volume: 21.964 Å³ per atom
symmetry: Imma
formation energy from raw total energies: -526 meV/atom
ΔE to the lowest computed polymorph: 0.000 eV/atom


# Np5AgS8

Crystalline Np5AgS8 at its relaxed geometry (PBE, Alexandria).

Geometry as POSCAR:
```
Np5AgS8
1.0
-4.1320 4.1320 4.1654
4.1320 -4.1320 4.1654
4.1320 4.1320 -4.1654
Np Ag S
5 1 8
Cartesian
0.0000 0.0000 0.0000 Np
2.0722 -1.0686 3.1998 Np
3.0634 2.0598 0.9656 Np
2.0598 5.2005 -0.9656 Np
1.0686 2.0722 5.1310 Np
0.0000 4.1320 2.0827 Ag
3.5496 2.7001 -1.7069 S
5.6344 0.6573 0.5482 S
0.6573 2.6296 -0.5482 S
0.5824 1.4319 2.4585 S
3.4747 1.5024 3.6172 S
1.4319 -0.5824 5.8723 S
2.7001 4.7144 1.7069 S
-1.5024 3.4747 4.7136 S
```

## Properties
total moment: 20.00 μB per formula unit
volume: 20.319 Å³ per atom
symmetry: I-4
formation energy from raw total energies: -1265 meV/atom